Material: K2BaCd
Method: DFT, PBE
State: relaxed

Cell and atoms, written as extended XYZ:
```
4
Lattice="-3.210 3.210 4.711 3.210 -3.210 4.711 3.210 3.210 -4.711" Properties=species:S:1:pos:R:3 pbc="T T T"
K 0.000 0.000 0.000
K 0.000 3.210 2.356
Ba 3.210 0.000 2.356
Cd 0.000 0.000 4.711
```

Computed properties:
**Formation energy from the elements**: 0.2 eV/f.u.
**Space group**: I-4m2, No. 119